KAl2PO6 PBE relaxed; raw formation energy = -2.632 eV per atom
1.0
4.186 -5.656 0.000
4.186 5.656 0.000
-2.226 0.000 5.472
K Al P O
2 4 2 12
Direct
0.100 0.900 0.750
0.900 0.100 0.250
0.299 0.453 0.859
0.453 0.299 0.359
0.547 0.701 0.641
0.701 0.547 0.141
0.204 0.796 0.250
0.796 0.204 0.750
0.024 0.263 0.740
0.214 0.656 0.015
0.263 0.024 0.240
0.330 0.418 0.554
0.344 0.786 0.485
0.418 0.330 0.054
0.582 0.670 0.946
0.656 0.214 0.515
0.670 0.582 0.446
0.737 0.976 0.760
0.786 0.344 0.985
0.976 0.737 0.260